No. 1
This record from the Alexandria database describes a geometry-optimized AcZr4S8 structure. The functional is PBE-GGA.

The structure in POSCAR format:
```
AcZr4S8
1.0
0.0000 5.5066 5.5066
5.5066 0.0000 5.5066
5.5066 5.5066 0.0000
Ac Zr S
1 4 8
Cartesian
0.0000 0.0000 0.0000
6.7567 4.2564 4.2564
4.2564 6.7567 4.2564
4.2564 4.2564 6.7567
6.7567 6.7567 6.7567
4.1909 4.1909 4.1909
6.8223 6.8223 4.1909
6.8223 4.1909 6.8223
9.4151 7.1047 7.1047
7.1047 9.4151 7.1047
7.1047 7.1047 9.4151
9.4151 9.4151 9.4151
4.1909 6.8223 6.8223
```

E above lowest polymorph (meV per atom): 151.5
DOS at the Fermi energy (states/eV per cell): 8.944
Crystal system: cubic
Space-group type: F-43m, No. 216
E_form (uncorrected) (eV per atom): -1.55
E_tot (Ry/atom): -0.5171

=====

No. 2
This record from the Alexandria database describes a geometry-optimized CeSiTc structure. The functional is PBE-GGA.

The structure in POSCAR format:
```
CeSiTc
1.0
3.0761 -3.0759 0.0000
3.0761 3.0759 0.0000
-0.0356 0.0000 6.4953
Ce Si Tc
2 2 2
Cartesian
1.5247 0.0000 1.2238
4.5919 0.0000 5.2714
1.5189 0.0000 4.4546
4.5977 0.0000 2.0407
3.0583 1.5374 3.2476
3.0583 -1.5374 3.2476
```

E above lowest polymorph (meV per atom): 0.0
DOS at the Fermi energy (states/eV per cell): 10.252
Crystal system: monoclinic
Space-group type: C2/m, No. 12
E_form (uncorrected) (eV per atom): -0.59
E_tot (Ry/atom): -0.5753